Here is AcTbSmAg after structural relaxation from Alexandria. Energies are from GGA-PBE.

Output
The value obtained for the size of the total moment is 0.000 μB/f.u. The calculation puts the uncorrected energy at -3.91 eV/atom.

a b c (Å): 5.606 5.606 5.606
angles (deg): 60.00 60.00 60.00
Fractional positions:
1 Ac 0.000 0.000 0.000
2 Tb 0.750 0.750 0.750
3 Sm 0.250 0.250 0.250
4 Ag 0.500 0.500 0.500

Here is Ac2SmAgTe5 after structural relaxation from Alexandria. Energies are from GGA-PBE.

Output
The value obtained for the size of the total moment is 0.000 μB/f.u. As for the uncorrected formation energy: -1.32 eV per atom.

a b c (Å): 10.045 10.045 13.605
angles (deg): 90.00 90.00 153.73
Fractional positions:
1 Ac 0.111 0.889 0.500
2 Ac 0.124 0.876 0.122
3 Ac 0.876 0.124 0.622
4 Ac 0.889 0.111 0.000
5 Sm 0.192 0.808 0.823
6 Sm 0.808 0.192 0.323
7 Ag 0.432 0.568 0.271
8 Ag 0.568 0.432 0.771
9 Te 0.044 0.956 0.882
10 Te 0.288 0.712 0.481
11 Te 0.306 0.694 0.159
12 Te 0.356 0.644 0.814
13 Te 0.499 0.501 0.590
14 Te 0.501 0.499 0.090
15 Te 0.644 0.356 0.314
16 Te 0.694 0.306 0.659
17 Te 0.712 0.288 0.981
18 Te 0.956 0.044 0.382